Entry 1:
Here is an optimized crystal structure of LiTa2MnOs from Alexandria via LeMat-Bulk. Energies are from PBE-GGA.

POSCAR file:
```
LiTa2MnOs
1.0
4.404 0.000 0.000
0.000 3.896 0.000
0.000 0.000 4.404
Ta Mn Li Os
2 1 1 1
direct
0.000 0.000 0.500
0.500 0.000 0.000
0.500 0.500 0.500
0.000 0.000 0.000
0.000 0.500 0.000
```

Calculated values
As for the final energy: -7.98 eV per atom. As for the formation energy from the elements: 1.223 eV per atom. The calculation puts the volume at 75.6 Å³ per cell.



Entry 2:
Here is an optimized crystal structure of LiMnOsW from Alexandria via LeMat-Bulk. Energies are from PBE-GGA.

POSCAR file:
```
LiMnOsW
1.0
4.251 0.000 0.000
2.125 3.681 0.000
2.125 1.227 3.471
Mn Os Li W
1 1 1 1
direct
0.500 0.500 0.500
0.000 0.000 0.000
0.750 0.750 0.750
0.250 0.250 0.250
```

Calculated values
As for the final energy: -8.69 eV per atom. As for the formation energy from the elements: 0.126 eV per atom. The calculation puts the volume at 54.3 Å³ per cell.



Entry 3:
Here is an optimized crystal structure of LiMnZnOs2 from Alexandria via LeMat-Bulk. Energies are from PBE-GGA.

POSCAR file:
```
LiMnZnOs2
1.0
4.400 0.000 0.000
0.000 4.319 0.000
0.000 0.000 4.400
Li Mn Zn Os
1 1 1 2
direct
0.000 0.500 0.000
0.000 0.000 0.000
0.500 0.500 0.500
0.000 0.000 0.500
0.500 0.000 0.000
```

Calculated values
As for the final energy: -5.70 eV per atom. As for the formation energy from the elements: 1.259 eV per atom. The calculation puts the volume at 83.6 Å³ per cell.



Entry 4:
Here is an optimized crystal structure of LiMn2P from Alexandria via LeMat-Bulk. Energies are from PBE-GGA.

POSCAR file:
```
LiMn2P
1.0
-1.176 -2.424 2.259
2.936 -1.873 -0.482
4.540 1.964 7.206
Mn Li P
4 2 2
direct
0.713 0.125 0.250
0.037 0.625 0.250
0.875 0.963 0.750
0.375 0.287 0.750
0.250 0.750 0.500
0.500 0.500 0.000
0.750 0.250 0.500
0.000 0.000 0.000
```

Calculated values
As for the final energy: -6.17 eV per atom. As for the formation energy from the elements: 0.248 eV per atom. The calculation puts the volume at 103.6 Å³ per cell.



Entry 5:
Here is an optimized crystal structure of Li2MnP from Alexandria via LeMat-Bulk. Energies are from PBE-GGA.

POSCAR file:
```
Li2MnP
1.0
-2.366 -4.113 0.774
4.789 -0.015 -0.423
0.242 0.374 2.725
Mn P Li
1 1 2
direct
0.500 0.000 0.500
0.000 0.500 0.500
0.500 0.500 0.000
0.000 0.000 0.000
```

Calculated values
As for the final energy: -4.66 eV per atom. As for the formation energy from the elements: -0.054 eV per atom. The calculation puts the volume at 55.2 Å³ per cell.



Entry 6:
Here is an optimized crystal structure of LiMn2P from Alexandria via LeMat-Bulk. Energies are from PBE-GGA.

POSCAR file:
```
LiMn2P
1.0
3.683 0.000 0.000
0.000 3.684 0.000
0.000 0.000 3.435
Mn Li P
2 1 1
direct
0.000 0.000 0.000
0.500 0.500 0.000
0.000 0.500 0.500
0.500 0.000 0.500
```

Calculated values
As for the final energy: -6.57 eV per atom. As for the formation energy from the elements: -0.154 eV per atom. The calculation puts the volume at 46.6 Å³ per cell.



Entry 7:
Here is an optimized crystal structure of LiMnP2 from Alexandria via LeMat-Bulk. Energies are from PBE-GGA.

POSCAR file:
```
LiMnP2
1.0
2.619 0.000 0.000
0.000 2.619 0.000
0.000 0.000 9.216
Li Mn P
1 1 2
direct
0.500 0.500 0.500
0.500 0.500 0.000
0.500 0.500 0.753
0.500 0.500 0.247
```

Calculated values
The calculation puts the polymorph energy (0 for the lowest one) at 655.1 meV per atom. As for the final energy: -5.21 eV per atom. As for the formation energy from the elements: 0.267 eV per atom. The calculation puts the volume at 63.2 Å³ per cell.



Entry 8:
Here is an optimized crystal structure of LiMn2P from Alexandria via LeMat-Bulk. Energies are from PBE-GGA.

POSCAR file:
```
LiMn2P
1.0
-1.222 -2.609 0.443
2.645 -1.187 0.306
-0.173 0.979 5.288
P Mn Li
1 2 1
direct
0.500 0.500 0.250
0.000 0.000 0.477
0.000 0.000 0.023
0.500 0.500 0.750
```

Calculated values
As for the final energy: -6.43 eV per atom. As for the formation energy from the elements: -0.016 eV per atom. The calculation puts the volume at 45.7 Å³ per cell.



Entry 9:
Here is an optimized crystal structure of LiMn2P2 from Alexandria via LeMat-Bulk. Energies are from PBE-GGA.

POSCAR file:
```
LiMn2P2
1.0
-2.069 -5.487 -2.859
5.643 -0.436 -3.246
1.046 -1.443 2.013
Mn Li P
4 2 4
direct
0.355 0.145 0.500
0.855 0.355 0.500
0.645 0.855 0.500
0.145 0.645 0.500
0.500 0.500 0.000
0.000 0.000 0.000
0.150 0.350 0.000
0.850 0.650 0.000
0.650 0.150 0.000
0.350 0.850 0.000
```

Calculated values
As for the final energy: -6.63 eV per atom. As for the formation energy from the elements: -0.418 eV per atom. The calculation puts the volume at 114.4 Å³ per cell.



Entry 10:
Here is an optimized crystal structure of Li2MnP from Alexandria via LeMat-Bulk. Energies are from PBE-GGA.

POSCAR file:
```
Li2MnP
1.0
-2.220 -0.908 -1.728
0.504 -2.795 0.823
-3.334 -2.136 5.407
Li Mn P
2 1 1
direct
0.500 0.218 0.282
0.000 0.027 0.973
0.000 0.454 0.545
0.500 0.800 0.700
```

Calculated values
As for the final energy: -4.81 eV per atom. As for the formation energy from the elements: -0.212 eV per atom. The calculation puts the volume at 52.6 Å³ per cell.



Entry 11:
Here is an optimized crystal structure of LiMnP2 from Alexandria via LeMat-Bulk. Energies are from PBE-GGA.

POSCAR file:
```
LiMnP2
1.0
-0.904 -1.022 -2.442
1.066 -4.319 1.414
-7.420 -0.819 3.090
Li Mn P
2 2 4
direct
0.000 0.000 0.177
0.500 0.500 0.823
0.000 0.000 0.669
0.500 0.500 0.331
0.000 0.500 0.109
0.500 0.000 0.444
0.000 0.500 0.556
0.500 0.000 0.891
```

Calculated values
The calculation puts the polymorph energy (0 for the lowest one) at 103.3 meV per atom. As for the final energy: -5.76 eV per atom. As for the formation energy from the elements: -0.285 eV per atom. The calculation puts the volume at 105.5 Å³ per cell.



Entry 12:
Here is an optimized crystal structure of LiMn2P from Alexandria via LeMat-Bulk. Energies are from PBE-GGA.

POSCAR file:
```
LiMn2P
1.0
-1.782 3.218 -1.044
-2.373 -1.272 0.130
-1.611 0.611 4.637
Li Mn P
1 2 1
direct
0.500 0.706 0.713
0.500 0.440 0.242
0.000 0.050 0.025
0.000 0.304 0.520
```

Calculated values
As for the final energy: -6.52 eV per atom. As for the formation energy from the elements: -0.106 eV per atom. The calculation puts the volume at 49.0 Å³ per cell.



Please write out number 5 again, unchanged.
Here is an optimized crystal structure of Li2MnP from Alexandria via LeMat-Bulk. Energies are from PBE-GGA.

POSCAR file:
```
Li2MnP
1.0
-2.366 -4.113 0.774
4.789 -0.015 -0.423
0.242 0.374 2.725
Mn P Li
1 1 2
direct
0.500 0.000 0.500
0.000 0.500 0.500
0.500 0.500 0.000
0.000 0.000 0.000
```

Calculated values
As for the final energy: -4.66 eV per atom. As for the formation energy from the elements: -0.054 eV per atom. The calculation puts the volume at 55.2 Å³ per cell.